Below is ZrMoC2 after structural relaxation, with properties calculated at the PBE level.

As for the formation energy: 12 kJ per mole of atoms. As for the relative energy among the computed polymorphs: 486 meV/atom. The density of states at the Fermi level comes out at 10.0 states/eV per cell. For the total moment, the calculation gives 0.000 μB/f.u. The calculation puts the volume at 59 Å³/f.u.

```
data_ZrMoC2
_symmetry_space_group_name_H-M 'I -4 2 d'
_symmetry_Int_Tables_number 122
_symmetry_space_group_name_Hall 'I -4 2bw'
_cell_length_a 4.8830
_cell_length_b 4.8830
_cell_length_c 9.8282
_cell_angle_alpha 90.00
_cell_angle_beta 90.00
_cell_angle_gamma 90.00
loop_
_atom_site_label
_atom_site_fract_x
_atom_site_fract_y
_atom_site_fract_z
Zr1 0.0000 0.0000 0.0000
Mo1 0.0000 0.0000 0.5000
C1 0.2138 0.2500 0.6250
```

***

Below is La2MgSb3Rh4 after structural relaxation, with properties calculated at the PBE level.

The density of states at the Fermi level comes out at 5.6 states/eV per cell. For the total moment, the calculation gives 0.036 μB/f.u. The calculation puts the volume at 215 Å³/f.u. As for the raw formation energy: -8.55 eV/f.u.

```
data_La2MgSb3Rh4
_symmetry_space_group_name_H-M 'P -4 m 2'
_symmetry_Int_Tables_number 115
_cell_length_a 4.4359
_cell_length_b 4.4359
_cell_length_c 10.9439
_cell_angle_alpha 90.00
_cell_angle_beta 90.00
_cell_angle_gamma 90.00
loop_
_symmetry_equiv_pos_as_xyz
'x,y,z'
'y,-x,-z'
'-x,-y,z'
'-y,x,-z'
'-x,y,z'
'-y,-x,-z'
'x,-y,z'
'y,x,-z'
loop_
_atom_site_label
_atom_site_fract_x
_atom_site_fract_y
_atom_site_fract_z
La1 0.0000 0.5000 0.2505
Mg1 0.0000 0.0000 0.5000
Sb1 0.0000 0.5000 0.8675
Sb2 0.5000 0.5000 0.5000
Rh1 0.0000 0.0000 0.0000
Rh2 0.0000 0.5000 0.6326
Rh3 0.5000 0.5000 0.0000
```

***

Below is LiSnS after structural relaxation, with properties calculated at the PBE level.

As for the relative energy among the computed polymorphs: 168 meV/atom. The density of states at the Fermi level comes out at 3.3 states/eV per cell. For the total moment, the calculation gives 0.000 μB/f.u. The calculation puts the volume at 62 Å³/f.u. As for the raw formation energy: -1.79 eV/f.u.

```
data_LiSnS
_symmetry_space_group_name_H-M 'C m c m'
_symmetry_Int_Tables_number 63
_symmetry_space_group_name_Hall '-C 2c 2'
_cell_length_a 3.5704
_cell_length_b 19.6040
_cell_length_c 3.5649
_cell_angle_alpha 90.00
_cell_angle_beta 90.00
_cell_angle_gamma 90.00
loop_
_atom_site_label
_atom_site_fract_x
_atom_site_fract_y
_atom_site_fract_z
Li1 0.0000 0.0582 0.2500
Sn1 0.0000 0.3147 0.7500
S1 0.0000 0.4193 0.2500
```